No. 1
Density functional theory data (PBE-GGA) for crystalline LaErNiOs at its relaxed geometry.

Geometry as extended XYZ:
```
4
Lattice="4.8995 0.0000 0.0000 2.4498 4.2431 0.0000 2.4498 1.4144 4.0004" Properties=species:S:1:pos:R:3 pbc="T T T"
Os 7.3493 4.2431 3.0003
La 4.8995 2.8287 2.0002
Ni 2.4498 1.4144 1.0001
Er 0.0000 0.0000 0.0000
```

No. 2
Density functional theory data (PBE-GGA) for crystalline LaErNiRu at its relaxed geometry.

Geometry as extended XYZ:
```
4
Lattice="-4.8115 0.5763 0.7002 -3.0716 -0.2212 -3.8065 -3.0203 -3.8224 -0.4896" Properties=species:S:1:pos:R:3 pbc="T T T"
La 0.0000 0.0000 0.0000
Ru -8.1776 -2.6005 -2.6969
Ni -2.7259 -0.8668 -0.8990
Er -5.4517 -1.7337 -1.7979
```

No. 3
18
Lattice="3.8835 0.0000 0.0000 -1.9418 8.3365 0.0000 0.0000 0.0000 12.0183" Properties=species:S:1:pos:R:3 comment="La2ErNiS5, optimized geometry, DFT PBE-GGA" formation_energy_uncorrected_mev_per_atom=-1825 pbc="T T T"
S 0.0000 5.2223 4.3956
S 1.9418 2.6499 6.2461
Ni 0.0000 7.4550 5.0902
La 0.0000 1.9260 4.1612
Ni 1.9418 0.8814 11.0994
La 1.9418 6.4105 10.1704
S 1.9418 0.0169 3.0481
S 0.0000 5.6866 0.2369
La 1.9418 6.3207 2.3605
Er 0.0000 2.9742 0.3013
Er 1.9418 5.3623 6.3105
S 0.0000 0.3021 0.1164
S 0.0000 8.3196 9.0572
La 0.0000 2.0158 8.3697
S 1.9418 3.1142 10.4048
S 1.9418 3.2498 2.2109
S 0.0000 5.0867 8.2201
S 1.9418 8.0344 6.1256

No. 4
6
Lattice="4.0233 0.0000 0.0000 -2.0116 3.4842 0.0000 0.0000 0.0000 8.1734" Properties=species:S:1:pos:R:3 comment="LaErSi2Ni2, optimized geometry, DFT PBE-GGA" formation_energy_uncorrected_mev_per_atom=-758 pbc="T T T"
Ni 0.0000 2.3228 5.9514
Si 2.0116 1.1614 6.0051
Si 0.0000 2.3228 2.1683
Ni 2.0116 1.1614 2.2220
Er 0.0000 0.0000 4.0867
La 0.0000 0.0000 0.0000

In eV/atom, the DFT total energy values for the records above are, in order, -6.804 -6.418 -6.363 -6.075.